Entry 1:
A plane-wave DFT calculation with GGA-PBE was carried out for an optimized crystal structure of Na2HgOsO6.

Size of the total moment in Bohr magnetons per cell: 0.00
E_form (uncorrected) in kJ/mol of atoms: -99.1
ρ in g/cm³: 6.3

The structure in POSCAR format:
```
Na2HgOsO6
1.0
6.083 0.000 0.000
0.000 6.236 0.000
-5.952 0.000 7.387
Na Hg Os O
4 2 2 12
Direct
0.231 0.053 0.251
0.231 0.447 0.751
0.769 0.553 0.249
0.769 0.947 0.749
0.500 0.000 0.000
0.500 0.500 0.500
0.000 0.000 0.500
0.000 0.500 0.000
0.133 0.071 0.746
0.133 0.429 0.246
0.169 0.736 0.570
0.169 0.764 0.070
0.322 0.115 0.553
0.322 0.385 0.053
0.678 0.615 0.947
0.678 0.885 0.447
0.831 0.236 0.930
0.831 0.264 0.430
0.867 0.571 0.754
0.867 0.929 0.254
```


Entry 2:
A plane-wave DFT calculation with GGA-PBE was carried out for an optimized crystal structure of NaHgOsO6.

Size of the total moment in Bohr magnetons per cell: 1.00
Fermi-level density of states in states/eV per cell: 0.3
E_form (uncorrected) in kJ/mol of atoms: -72.3
ρ in g/cm³: 5.6

The structure in POSCAR format:
```
NaHgOsO6
1.0
5.287 0.000 0.000
1.615 5.482 0.000
0.732 2.697 5.183
Na Hg Os O
1 1 1 6
Direct
0.000 0.000 0.000
0.495 0.306 0.379
0.997 0.649 0.698
0.172 0.903 0.617
0.217 0.630 0.366
0.228 0.356 0.911
0.768 0.733 0.908
0.774 0.997 0.365
0.821 0.476 0.613
```


Entry 3:
A plane-wave DFT calculation with GGA-PBE was carried out for an optimized crystal structure of NaHg2OsO4.

Size of the total moment in Bohr magnetons per cell: 2.02
Fermi-level density of states in states/eV per cell: 13.1
E_form (uncorrected) in kJ/mol of atoms: -83.6
ρ in g/cm³: 5.5

The structure in POSCAR format:
```
NaHg2OsO4
1.0
6.734 0.000 0.000
0.000 6.734 0.000
0.000 0.000 9.046
Na Hg Os O
2 4 2 8
Direct
0.000 0.000 0.000
0.500 0.500 0.500
0.000 0.000 0.500
0.000 0.500 0.750
0.500 0.000 0.250
0.500 0.500 0.000
0.000 0.500 0.250
0.500 0.000 0.750
0.001 0.287 0.137
0.213 0.501 0.363
0.287 0.999 0.863
0.499 0.213 0.637
0.501 0.787 0.637
0.713 0.001 0.863
0.787 0.499 0.363
0.999 0.713 0.137
```